TaPBr2 | SCAN | single point on PBEsol structure

The structure in CIF format:
```
data_TaPBr2
_chemical_formula_sum 'Ta2 P2 Br4'
_space_group_name_H-M_alt 'P 1'
_space_group_IT_number 1
_space_group_name_Hall 'P 1'
_cell_length_a 4.7504
_cell_length_b 6.9998
_cell_length_c 6.9998
_cell_angle_alpha 83.39
_cell_angle_beta 70.16
_cell_angle_gamma 70.16
loop_
_atom_site_label
_atom_site_fract_x
_atom_site_fract_y
_atom_site_fract_z
_atom_site_occupancy
Br1 0.3750 0.6385 0.8615 1
Br2 0.8750 0.3615 0.1385 1
Br3 0.7635 0.8615 0.3615 1
Br4 0.9865 0.1385 0.6385 1
P1 0.2500 0.5000 0.5000 1
P2 0.5000 0.0000 0.0000 1
Ta1 0.7500 0.5000 0.5000 1
Ta2 0.0000 0.0000 0.0000 1
```

E_tot   -29.030 eV per atom
ρ   5.99 g cm⁻³
ΔE to the lowest computed polymorph   161.0 meV/atom
DOS(E_F)   1.4 states/eV/f.u.
Magnetization   0.024 μB per formula unit

=====

Hf2Ni2Sb | SCAN | single point on PBEsol structure

The structure in CIF format:
```
data_Hf2Ni2Sb
_chemical_formula_sum 'Hf4 Ni4 Sb2'
_space_group_name_H-M_alt 'P 1'
_space_group_IT_number 1
_space_group_name_Hall 'P 1'
_cell_length_a 3.6121
_cell_length_b 6.7361
_cell_length_c 6.7361
_cell_angle_alpha 90.00
_cell_angle_beta 90.00
_cell_angle_gamma 90.00
loop_
_atom_site_label
_atom_site_fract_x
_atom_site_fract_y
_atom_site_fract_z
_atom_site_occupancy
Hf1 0.5000 0.6655 0.8345 1
Hf2 0.5000 0.1655 0.6655 1
Hf3 0.5000 0.3345 0.1655 1
Hf4 0.5000 0.8345 0.3345 1
Ni1 0.0000 0.8738 0.6262 1
Ni2 0.0000 0.6262 0.1262 1
Ni3 0.0000 0.1262 0.3738 1
Ni4 0.0000 0.3738 0.8738 1
Sb1 0.0000 0.0000 0.0000 1
Sb2 0.0000 0.5000 0.5000 1
```

E_tot   -39.613 eV per atom
ρ   12.08 g cm⁻³
DOS(E_F)   1.8 states/eV/f.u.
Magnetization   0.000 μB per formula unit

=====

MnCoSb | SCAN | single point on PBEsol structure

The structure in CIF format:
```
data_MnCoSb
_chemical_formula_sum 'Mn8 Co8 Sb8'
_space_group_name_H-M_alt 'P 1'
_space_group_IT_number 1
_space_group_name_Hall 'P 1'
_cell_length_a 8.0453
_cell_length_b 8.0453
_cell_length_c 8.0453
_cell_angle_alpha 60.00
_cell_angle_beta 60.00
_cell_angle_gamma 60.00
loop_
_atom_site_label
_atom_site_fract_x
_atom_site_fract_y
_atom_site_fract_z
_atom_site_occupancy
Co1 0.1206 0.1206 0.6381 1
Co2 0.3619 0.8794 0.8794 1
Co3 0.8794 0.8794 0.8794 1
Co4 0.1206 0.1206 0.1206 1
Co5 0.8794 0.8794 0.3619 1
Co6 0.6381 0.1206 0.1206 1
Co7 0.1206 0.6381 0.1206 1
Co8 0.8794 0.3619 0.8794 1
Sb1 0.7305 0.2695 0.2695 1
Sb2 0.2695 0.7305 0.7305 1
Sb3 0.7500 0.7500 0.7500 1
Sb4 0.2695 0.2695 0.7305 1
Sb5 0.7305 0.7305 0.2695 1
Sb6 0.7305 0.2695 0.7305 1
Sb7 0.2695 0.7305 0.2695 1
Sb8 0.2500 0.2500 0.2500 1
Mn1 0.5000 0.0000 0.5000 1
Mn2 0.5000 0.5000 0.5000 1
Mn3 0.0000 0.5000 0.0000 1
Mn4 0.0000 0.0000 0.5000 1
Mn5 0.5000 0.5000 0.0000 1
Mn6 0.0000 0.0000 0.0000 1
Mn7 0.0000 0.5000 0.5000 1
Mn8 0.5000 0.0000 0.0000 1
```

E_tot   -24.512 eV per atom
ρ   8.50 g cm⁻³
DOS(E_F)   1.5 states/eV/f.u.
Magnetization   4.066 μB per formula unit

=====

Li2BiSb | SCAN | single point on PBEsol structure

The structure in CIF format:
```
data_Li2BiSb
_chemical_formula_sum 'Li2 Bi1 Sb1'
_space_group_name_H-M_alt 'P 1'
_space_group_IT_number 1
_space_group_name_Hall 'P 1'
_cell_length_a 4.9645
_cell_length_b 4.9645
_cell_length_c 4.9645
_cell_angle_alpha 60.00
_cell_angle_beta 60.00
_cell_angle_gamma 60.00
loop_
_atom_site_label
_atom_site_fract_x
_atom_site_fract_y
_atom_site_fract_z
_atom_site_occupancy
Li1 0.2500 0.2500 0.2500 1
Li2 0.7500 0.7500 0.7500 1
Sb1 0.0000 0.0000 0.0000 1
Bi1 0.5000 0.5000 0.5000 1
```

E_tot   -30.557 eV per atom
ρ   6.61 g cm⁻³
DOS(E_F)   1.1 states/eV/f.u.
Magnetization   0.000 μB per formula unit

=====

ErSiRh2 | SCAN | single point on PBEsol structure

The structure in CIF format:
```
data_ErSiRh2
_chemical_formula_sum 'Er6 Si6 Rh12'
_space_group_name_H-M_alt 'P 1'
_space_group_IT_number 1
_space_group_name_Hall 'P 1'
_cell_length_a 5.4380
_cell_length_b 5.4380
_cell_length_c 14.9272
_cell_angle_alpha 90.00
_cell_angle_beta 90.00
_cell_angle_gamma 120.00
loop_
_atom_site_label
_atom_site_fract_x
_atom_site_fract_y
_atom_site_fract_z
_atom_site_occupancy
Rh1 0.3340 0.1670 0.3707 1
Rh2 0.3340 0.1670 0.1293 1
Rh3 0.8330 0.1670 0.1293 1
Rh4 0.8330 0.6660 0.3707 1
Rh5 0.6660 0.8330 0.6293 1
Rh6 0.1670 0.8330 0.6293 1
Rh7 0.1670 0.8330 0.8707 1
Rh8 0.6660 0.8330 0.8707 1
Rh9 0.1670 0.3340 0.6293 1
Rh10 0.1670 0.3340 0.8707 1
Rh11 0.8330 0.6660 0.1293 1
Rh12 0.8330 0.1670 0.3707 1
Er1 0.3333 0.6667 0.2500 1
Er2 0.6667 0.3333 0.7500 1
Er3 0.6667 0.3333 0.5377 1
Er4 0.6667 0.3333 0.9623 1
Er5 0.3333 0.6667 0.4623 1
Er6 0.3333 0.6667 0.0377 1
Si1 0.0000 0.0000 0.5000 1
Si2 0.3333 0.6667 0.7500 1
Si3 0.0000 0.0000 0.2500 1
Si4 0.6667 0.3333 0.2500 1
Si5 0.0000 0.0000 0.7500 1
Si6 0.0000 0.0000 0.0000 1
```

E_tot   -33.154 eV per atom
ρ   10.46 g cm⁻³
DOS(E_F)   1.4 states/eV/f.u.
Magnetization   0.000 μB per formula unit

=====

LaHg3As | SCAN | single point on PBEsol structure

The structure in CIF format:
```
data_LaHg3As
_chemical_formula_sum 'La1 Hg3 As1'
_space_group_name_H-M_alt 'P 1'
_space_group_IT_number 1
_space_group_name_Hall 'P 1'
_cell_length_a 5.1498
_cell_length_b 5.1498
_cell_length_c 5.1498
_cell_angle_alpha 90.00
_cell_angle_beta 90.00
_cell_angle_gamma 90.00
loop_
_atom_site_label
_atom_site_fract_x
_atom_site_fract_y
_atom_site_fract_z
_atom_site_occupancy
As1 0.0000 0.0000 0.0000 1
Hg1 0.0000 0.5000 0.0000 1
Hg2 0.5000 0.0000 0.0000 1
Hg3 0.0000 0.0000 0.5000 1
La1 0.5000 0.5000 0.5000 1
```

E_tot   -53.589 eV per atom
ρ   9.92 g cm⁻³
Energy relative to the elements   -15 kJ/mol of formula units
DOS(E_F)   3.8 states/eV/f.u.
Magnetization   0.000 μB per formula unit

=====

Tl2SbMo | SCAN | single point on PBEsol structure

The structure in CIF format:
```
data_Tl2SbMo
_chemical_formula_sum 'Tl2 Sb1 Mo1'
_space_group_name_H-M_alt 'P 1'
_space_group_IT_number 1
_space_group_name_Hall 'P 1'
_cell_length_a 3.2660
_cell_length_b 3.2660
_cell_length_c 10.4248
_cell_angle_alpha 80.99
_cell_angle_beta 80.99
_cell_angle_gamma 60.00
loop_
_atom_site_label
_atom_site_fract_x
_atom_site_fract_y
_atom_site_fract_z
_atom_site_occupancy
Tl1 0.0033 0.0033 0.9901 1
Tl2 0.7628 0.7628 0.7117 1
Mo1 0.5019 0.5019 0.4942 1
Sb1 0.2320 0.2320 0.3040 1
```

E_tot   -53.875 eV per atom
ρ   10.98 g cm⁻³
ΔE to the lowest computed polymorph   0.0 meV/atom
DOS(E_F)   1.0 states/eV/f.u.
Magnetization   0.000 μB per formula unit

=====

Be2GaIr2 | SCAN | single point on PBEsol structure

The structure in CIF format:
```
data_Be2GaIr2
_chemical_formula_sum 'Be4 Ga2 Ir4'
_space_group_name_H-M_alt 'P 1'
_space_group_IT_number 1
_space_group_name_Hall 'P 1'
_cell_length_a 2.7960
_cell_length_b 6.3938
_cell_length_c 6.3938
_cell_angle_alpha 90.00
_cell_angle_beta 90.00
_cell_angle_gamma 90.00
loop_
_atom_site_label
_atom_site_fract_x
_atom_site_fract_y
_atom_site_fract_z
_atom_site_occupancy
Be1 0.0000 0.1201 0.3799 1
Be2 0.0000 0.6201 0.1201 1
Be3 0.0000 0.3799 0.8799 1
Be4 0.0000 0.8799 0.6201 1
Ir1 0.5000 0.3262 0.1738 1
Ir2 0.5000 0.6738 0.8262 1
Ir3 0.5000 0.1738 0.6738 1
Ir4 0.5000 0.8262 0.3262 1
Ga1 0.0000 0.0000 0.0000 1
Ga2 0.0000 0.5000 0.5000 1
```

E_tot   -34.009 eV per atom
ρ   13.72 g cm⁻³
Energy relative to the elements   -269 kJ/mol of formula units
DOS(E_F)   1.5 states/eV/f.u.
Magnetization   0.000 μB per formula unit